[1]
This record from Alexandria describes crystalline CaHo2Er3Te6 at its relaxed geometry. The functional is PBE-GGA.

Computed properties:
**ΔE_f (raw)**: -1.292 eV per atom
**M_tot**: 0.00 μB per formula unit

Lattice parameters (Å, degrees): 18.982 4.351 8.713 90.00 103.60 90.00
Space group C2/m (No. 12)
Symmetry-distinct sites (fractional):
Ca 0.000 0.000 0.000 [2 per cell]
Ho 0.172 0.500 0.343 [4 per cell]
Er 0.000 0.000 0.500 [2 per cell]
Er 0.166 0.500 0.824 [4 per cell]
Te 0.002 0.500 0.254 [4 per cell]
Te 0.164 0.000 0.583 [4 per cell]
Te 0.169 0.000 0.082 [4 per cell]

=====

[2]
This record from Alexandria describes crystalline CrSiPt2 at its relaxed geometry. The functional is PBE-GGA.

Computed properties:
**ΔE_f (raw)**: -0.305 eV per atom
**M_tot**: 3.01 μB per formula unit

Lattice parameters (Å, degrees): 3.354 4.181 8.354 90.00 90.00 90.00
Space group Imm2 (No. 44)
Symmetry-distinct sites (fractional):
Cr 0.000 0.000 0.000 [2 per cell]
Si 0.000 0.500 0.268 [2 per cell]
Pt 0.000 0.000 0.557 [2 per cell]
Pt 0.000 0.500 0.781 [2 per cell]

=====

[3]
This record from Alexandria describes crystalline Li5Ca9B7O21F2 at its relaxed geometry. The functional is PBE-GGA.

Computed properties:
**ΔE_f (raw)**: -2.821 eV per atom
**M_tot**: 0.00 μB per formula unit

Lattice parameters (Å, degrees): 3.590 12.987 13.037 60.20 89.89 88.43
Space group P1 (No. 1)
Symmetry-distinct sites (fractional):
Li 0.000 0.000 0.000 [1 per cell]
Li 0.007 0.319 0.163 [1 per cell]
Li 0.481 0.370 0.513 [1 per cell]
Li 0.942 0.844 0.477 [1 per cell]
Li 0.979 0.665 0.886 [1 per cell]
Ca 0.000 0.158 0.589 [1 per cell]
Ca 0.417 0.841 0.273 [1 per cell]
Ca 0.468 0.681 0.697 [1 per cell]
Ca 0.482 0.543 0.101 [1 per cell]
Ca 0.499 0.921 0.848 [1 per cell]
Ca 0.505 0.207 0.994 [1 per cell]
Ca 0.525 0.111 0.370 [1 per cell]
Ca 0.958 0.572 0.332 [1 per cell]
Ca 0.987 0.419 0.720 [1 per cell]
B 0.455 0.643 0.505 [1 per cell]
B 0.492 0.345 0.337 [1 per cell]
B 0.499 0.169 0.801 [1 per cell]
B 0.967 0.765 0.096 [1 per cell]
B 0.981 0.056 0.214 [1 per cell]
B 0.988 0.460 0.927 [1 per cell]
B 0.992 0.926 0.625 [1 per cell]
O 0.006 0.856 0.982 [1 per cell]
O 0.024 0.021 0.509 [1 per cell]
O 0.031 0.150 0.235 [1 per cell]
O 0.038 0.070 0.103 [1 per cell]
O 0.438 0.759 0.487 [1 per cell]
O 0.449 0.629 0.406 [1 per cell]
O 0.473 0.457 0.324 [1 per cell]
O 0.477 0.549 0.619 [1 per cell]
O 0.496 0.150 0.705 [1 per cell]
O 0.496 0.246 0.450 [1 per cell]
O 0.500 0.283 0.787 [1 per cell]
O 0.501 0.072 0.915 [1 per cell]
O 0.507 0.331 0.239 [1 per cell]
O 0.872 0.948 0.307 [1 per cell]
O 0.926 0.787 0.190 [1 per cell]
O 0.952 0.812 0.646 [1 per cell]
O 0.969 0.646 0.123 [1 per cell]
O 0.981 0.555 0.812 [1 per cell]
O 0.991 0.485 0.020 [1 per cell]
O 0.993 0.344 0.947 [1 per cell]
O 0.999 0.951 0.717 [1 per cell]
F 0.476 0.707 0.886 [1 per cell]
F 0.980 0.384 0.545 [1 per cell]

=====

[4]
This record from Alexandria describes crystalline AcEuHgPt at its relaxed geometry. The functional is PBE-GGA.

Computed properties:
**Energy of formation**: -0.71 eV/atom
**M_tot**: 6.99 μB per formula unit

Lattice parameters (Å, degrees): 7.646 7.646 7.646 90.00 90.00 90.00
Space group F-43m (No. 216)
Symmetry-distinct sites (fractional):
Ac 0.000 0.000 0.000 [4 per cell]
Eu 0.000 0.000 0.500 [4 per cell]
Hg 0.250 0.250 0.250 [4 per cell]
Pt 0.250 0.250 0.750 [4 per cell]